1.
This record from Alexandria via LeMat-Bulk describes crystalline HfThAgHg at its relaxed geometry. The functional is PBE.

abc: 5.1512 5.1512 5.1512
angles: 60.00 60.00 60.00
With the nearest neighbours (Å) after each atom.
Fractional coordinates of all 4 atoms:
Ag  0.2500  0.2500  0.2500  4 Hf 3.15, 4 Th 3.15
Hf  0.0000  0.0000  0.0000  4 Ag 3.15, 4 Hg 3.15
Hg  0.7500  0.7500  0.7500  4 Hf 3.15, 4 Th 3.15
Th  0.5000  0.5000  0.5000  4 Hg 3.15, 4 Ag 3.15

Computed properties:
Energy (eV per atom): -5.076
Energy of formation (eV/atom): 0.0556
Total moment (μB/cell): 0.0

---

2.
This record from Alexandria via LeMat-Bulk describes crystalline Rb2Na2Bi at its relaxed geometry. The functional is PBE.

abc: 7.0238 5.5749 7.3854
angles: 67.83 61.61 90.00
With the nearest neighbours (Å) after each atom.
Fractional coordinates of all 5 atoms:
Rb  0.6982  0.1982  0.6036  6 Na 3.91-4.08, 2 Bi 4.21
Rb  0.3018  0.8018  0.3965  6 Na 3.91-4.08, 2 Bi 4.21
Na  0.2355  0.5000  0.0000  2 Bi 3.24, 1 Na 3.31
Na  0.7645  0.5000  0.0000  2 Bi 3.24, 1 Na 3.31
Bi  0.0000  0.0000  0.0000  4 Na 3.24

Computed properties:
Energy (eV per atom): -1.900
Energy of formation (eV/atom): -0.2090
Total moment (μB/cell): 0.4
Excess energy over the best structure of this formula in the dataset (meV per atom): 30

---

3.
This record from Alexandria via LeMat-Bulk describes crystalline SrAc2SmAs4 at its relaxed geometry. The functional is PBE.

abc: 4.4607 7.6518 7.7589
angles: 70.38 90.00 90.00
With the nearest neighbours (Å) after each atom.
Fractional coordinates of all 8 atoms:
Sr  0.5000  0.5000  0.0000  6 As 3.15-3.16
Ac  0.0000  0.0000  0.0000  6 As 3.22-3.23
Ac  0.5000  0.0000  0.5000  6 As 3.14-3.15
Sm  0.0000  0.5000  0.5000  6 As 3.06-3.07
As  0.0000  0.7441  0.7423  1 Sm 3.06, 3 Ac 3.14-3.23, 2 Sr 3.16
As  0.0000  0.2559  0.2577  1 Sm 3.06, 3 Ac 3.14-3.23, 2 Sr 3.16
As  0.5000  0.7380  0.2621  2 Sm 3.07, 3 Ac 3.15-3.22, 1 Sr 3.15
As  0.5000  0.2620  0.7379  2 Sm 3.07, 3 Ac 3.15-3.22, 1 Sr 3.15

Computed properties:
Energy (eV per atom): -5.463
Energy of formation (eV/atom): -1.3107
Total moment (μB/cell): 0.0

---

4.
This record from Alexandria via LeMat-Bulk describes crystalline KLaNi2 at its relaxed geometry. The functional is PBE.

abc: 7.7531 7.7531 6.3164
angles: 52.14 52.14 90.00
With the nearest neighbours (Å) after each atom.
Fractional coordinates of all 8 atoms:
Ni  0.6560  0.1250  0.2500  2 La 2.69
Ni  0.0940  0.6250  0.2500  2 La 2.69
Ni  0.3750  0.3440  0.7500  2 La 2.69
Ni  0.8750  0.9060  0.7500  2 La 2.69
K  0.5000  0.5000  0.0000  4 Ni 3.02, 2 La 3.14
K  0.2500  0.7500  0.5000  4 Ni 3.02, 2 La 3.14
La  0.0000  0.0000  0.0000  4 Ni 2.69
La  0.7500  0.2500  0.5000  4 Ni 2.69

Computed properties:
Energy (eV per atom): -3.915
Energy of formation (eV/atom): 0.4820
Total moment (μB/cell): 0.0
Excess energy over the best structure of this formula in the dataset (meV per atom): 475

---

5.
This record from Alexandria via LeMat-Bulk describes crystalline TlIn3Rh at its relaxed geometry. The functional is PBE.

abc: 5.1787 5.1787 5.1787
angles: 90.00 90.00 90.00
With the nearest neighbours (Å) after each atom.
Fractional coordinates of all 5 atoms:
Tl  0.5000  0.5000  0.5000  12 In 3.66
Rh  0.0000  0.0000  0.0000  6 In 2.59
In  0.0000  0.5000  0.0000  2 Rh 2.59
In  0.0000  0.0000  0.5000  2 Rh 2.59
In  0.5000  0.0000  0.0000  2 Rh 2.59

Computed properties:
Energy (eV per atom): -3.727
Energy of formation (eV/atom): -0.1406
Total moment (μB/cell): 0.0
Excess energy over the best structure of this formula in the dataset (meV per atom): 0

---

6.
This record from Alexandria via LeMat-Bulk describes crystalline Sr2Ga2Ru at its relaxed geometry. The functional is PBE.

abc: 3.6981 3.6981 10.0925
angles: 79.44 79.44 90.00
With the nearest neighbours (Å) after each atom.
Fractional coordinates of all 5 atoms:
Ru  0.0000  0.0000  0.0000  8 Sr 3.18
Ga  0.7500  0.2500  0.5000  4 Ga 2.61
Ga  0.2500  0.7500  0.5000  4 Ga 2.61
Sr  0.4072  0.4072  0.1856  4 Ru 3.18
Sr  0.5928  0.5928  0.8144  4 Ru 3.18

Computed properties:
Energy (eV per atom): -3.523
Energy of formation (eV/atom): 0.2161
Total moment (μB/cell): 0.6
Excess energy over the best structure of this formula in the dataset (meV per atom): 522

---

Q: Look up the energy of the second one.
A: -1.900 eV per atom

---

Q: Number 5 is which compound?
A: TlIn3Rh